# 1
Material: PaFeSi2Ni2
Method: DFT, PBE-GGA
State: relaxed

Properties
total magnetic moment: 0.0 μB/f.u.
raw formation energy: -0.2563 eV per atom

a = 4.3615 Å, b = 4.3615 Å, c = 4.8287 Å
α = 90.00°, β = 90.00°, γ = 90.00°
Last column: nearest neighbours and their distance in Å.
Fractional coordinates of all 6 atoms:
1 Pa 0.0000 0.0000 0.5000  2 Fe 2.41
2 Fe 0.0000 0.0000 0.0000  4 Si 2.18, 2 Pa 2.41
3 Si 0.5000 0.0000 0.0000  2 Fe 2.18
4 Si 0.0000 0.5000 0.0000  2 Fe 2.18
5 Ni 0.5000 0.5000 0.2568  2 Ni 2.35-2.48, 4 Si 2.51
6 Ni 0.5000 0.5000 0.7432  2 Ni 2.35-2.48, 4 Si 2.51

---

# 2
Material: Pa2FeSi3Ni12
Method: DFT, PBE-GGA
State: relaxed

Properties
total magnetic moment: 3.7 μB/f.u.
raw formation energy: -0.1844 eV per atom

a = 6.2588 Å, b = 6.2588 Å, c = 6.2588 Å
α = 83.39°, β = 83.39°, γ = 83.39°
Last column: nearest neighbours and their distance in Å.
Fractional coordinates of all 18 atoms:
1 Si 0.0000 0.0000 0.5000  6 Ni 2.37-2.47
2 Ni 0.7015 0.1950 0.1950  5 Ni 2.36-2.63, 1 Si 2.37, 1 Fe 2.40, 1 Pa 2.46
3 Si 0.5000 0.0000 0.0000  6 Ni 2.37-2.47
4 Ni 0.6125 0.0952 0.6125  4 Ni 2.36-2.63, 2 Si 2.47
5 Fe 0.0000 0.0000 0.0000  6 Ni 2.40
6 Ni 0.3875 0.9048 0.3875  4 Ni 2.36-2.63, 2 Si 2.47
7 Ni 0.1950 0.7015 0.1950  5 Ni 2.36-2.63, 1 Si 2.37, 1 Fe 2.40, 1 Pa 2.46
8 Ni 0.0952 0.6125 0.6125  4 Ni 2.36-2.63, 2 Si 2.47
9 Ni 0.6125 0.6125 0.0952  4 Ni 2.36-2.63, 2 Si 2.47
10 Si 0.0000 0.5000 0.0000  6 Ni 2.37-2.47
11 Ni 0.2985 0.8050 0.8050  5 Ni 2.36-2.63, 1 Si 2.37, 1 Fe 2.40, 1 Pa 2.46
12 Pa 0.6678 0.6678 0.6678  6 Ni 2.46-2.65
13 Pa 0.3322 0.3322 0.3322  6 Ni 2.46-2.65
14 Ni 0.9048 0.3875 0.3875  4 Ni 2.36-2.63, 2 Si 2.47
15 Ni 0.8050 0.2985 0.8050  5 Ni 2.36-2.63, 1 Si 2.37, 1 Fe 2.40, 1 Pa 2.46
16 Ni 0.8050 0.8050 0.2985  5 Ni 2.36-2.63, 1 Si 2.37, 1 Fe 2.40, 1 Pa 2.46
17 Ni 0.3875 0.3875 0.9048  4 Ni 2.36-2.63, 2 Si 2.47
18 Ni 0.1950 0.1950 0.7015  5 Ni 2.36-2.63, 1 Si 2.37, 1 Fe 2.40, 1 Pa 2.46

---

# 3
Material: PaFe2Si2Ni
Method: DFT, PBE-GGA
State: relaxed

Properties
total magnetic moment: 2.4 μB/f.u.
raw formation energy: 0.0168 eV per atom

a = 4.2936 Å, b = 4.2936 Å, c = 5.0442 Å
α = 90.00°, β = 90.00°, γ = 90.00°
Last column: nearest neighbours and their distance in Å.
Fractional coordinates of all 6 atoms:
1 Fe 0.5000 0.5000 0.7347  1 Fe 2.37, 4 Si 2.53
2 Ni 0.0000 0.0000 0.0000  4 Si 2.15
3 Fe 0.5000 0.5000 0.2653  1 Fe 2.37, 4 Si 2.53
4 Si 0.5000 0.0000 0.0000  2 Ni 2.15
5 Pa 0.0000 0.0000 0.5000  2 Ni 2.52
6 Si 0.0000 0.5000 0.0000  2 Ni 2.15